# 1
An optimized crystal structure of Pm3Hg7, computed with PBE.

Structure (CIF):
```
data_Pm3Hg7
_cell_length_a 16.731
_cell_length_b 5.003
_cell_length_c 6.554
_cell_angle_alpha 90.00
_cell_angle_beta 109.72
_cell_angle_gamma 90.00
_space_group_name_H-M_alt 'C 1 2/m 1'
_space_group_IT_number 12
loop_
_space_group_symop_operation_xyz
'x,y,z'
'-x,-y,-z'
'-x,y,-z'
'x,-y,z'
'x+1/2,y+1/2,z'
'-x+1/2,-y+1/2,-z'
'-x+1/2,y+1/2,-z'
'x+1/2,-y+1/2,z'
loop_
_atom_site_label
_atom_site_fract_x
_atom_site_fract_y
_atom_site_fract_z
Pm1 0.000 0.000 0.000
Pm2 0.203 0.000 0.654
Hg1 0.000 0.000 0.500
Hg2 0.096 0.500 0.346
Hg3 0.106 0.500 0.855
Hg4 0.196 0.000 0.138
```

Results
Volume (A^3/atom): 25.822
N(E_F) (states/eV/cell): 15.42
E_tot (eV per cell): -40.49
Magnetization (μB/atom): 0.000

=====

# 2
An optimized crystal structure of Cs2Tl6Pd3, computed with PBE.

Structure (CIF):
```
data_Cs2Tl6Pd3
_cell_length_a 8.9770
_cell_length_b 8.9770
_cell_length_c 4.8960
_cell_angle_alpha 90.00
_cell_angle_beta 90.00
_cell_angle_gamma 120.00
_space_group_name_H-M_alt 'P -6 2 m'
_space_group_IT_number 189
_space_group_name_Hall 'P -6 -2'
loop_
_atom_site_label
_atom_site_fract_x
_atom_site_fract_y
_atom_site_fract_z
Cs1 0.3333 0.6667 0.0000
Tl1 0.0000 0.2041 0.0000
Tl2 0.0000 0.6803 0.5000
Pd1 0.0000 0.3538 0.5000
```

Results
Volume (A^3/atom): 31.063
N(E_F) (states/eV/cell): 7.95
E_tot (eV per cell): -32.10
Magnetization (μB/atom): 0.000

=====

# 3
An optimized crystal structure of MgAuC2, computed with PBE.

Structure (CIF):
```
data_MgAuC2
_cell_length_a 4.987
_cell_length_b 4.987
_cell_length_c 9.684
_cell_angle_alpha 90.00
_cell_angle_beta 90.00
_cell_angle_gamma 90.00
_space_group_name_H-M_alt 'I -4 2 d'
_space_group_IT_number 122
_space_group_name_Hall 'I -4 2bw'
loop_
_atom_site_label
_atom_site_fract_x
_atom_site_fract_y
_atom_site_fract_z
Mg1 0.000 0.000 0.000
Au1 0.000 0.000 0.500
C1 0.220 0.250 0.625
```

Results
Volume (A^3/atom): 15.053
N(E_F) (states/eV/cell): 6.38
E_tot (eV per cell): -67.83
Magnetization (μB/atom): 0.000

=====

# 4
An optimized crystal structure of KBaFe2, computed with PBE.

Structure (CIF):
```
data_KBaFe2
_cell_length_a 3.791
_cell_length_b 5.390
_cell_length_c 11.630
_cell_angle_alpha 90.00
_cell_angle_beta 90.00
_cell_angle_gamma 90.00
_space_group_name_H-M_alt 'I m m 2'
_space_group_IT_number 44
loop_
_space_group_symop_operation_xyz
'x,y,z'
'-x,-y,z'
'-x,y,z'
'x,-y,z'
'x+1/2,y+1/2,z+1/2'
'-x+1/2,-y+1/2,z+1/2'
'-x+1/2,y+1/2,z+1/2'
'x+1/2,-y+1/2,z+1/2'
loop_
_atom_site_label
_atom_site_fract_x
_atom_site_fract_y
_atom_site_fract_z
K1 0.000 0.000 0.000
Ba1 0.000 0.500 0.792
Fe1 0.000 0.000 0.600
Fe2 0.000 0.500 0.211
```

Results
Volume (A^3/atom): 29.703
N(E_F) (states/eV/cell): 8.00
E_tot (eV per cell): -33.67
Magnetization (μB/atom): 1.266

=====

# 5
An optimized crystal structure of LiSm3Sc3S8, computed with PBE.

Structure (CIF):
```
data_LiSm3Sc3S8
_cell_length_a 7.6105
_cell_length_b 7.6105
_cell_length_c 18.9121
_cell_angle_alpha 90.00
_cell_angle_beta 90.00
_cell_angle_gamma 120.00
_space_group_name_H-M_alt 'R -3 m'
_space_group_IT_number 166
_space_group_name_Hall '-R 3 2"'
loop_
_atom_site_label
_atom_site_fract_x
_atom_site_fract_y
_atom_site_fract_z
Li1 0.0000 0.0000 0.0000
Sm1 0.0000 0.5000 0.5000
Sc1 0.0000 0.5000 0.0000
S1 0.0000 0.0000 0.2577
S2 0.0058 0.5029 0.2566
```

Results
Volume (A^3/atom): 21.081
N(E_F) (states/eV/cell): 13.52
E_tot (eV per cell): -290.37
Magnetization (μB/atom): 0.000

=====

# 6
An optimized crystal structure of Ac6Ga3Rh, computed with PBE.

Structure (CIF):
```
data_Ac6Ga3Rh
_cell_length_a 13.5662
_cell_length_b 13.5662
_cell_length_c 14.6851
_cell_angle_alpha 90.00
_cell_angle_beta 90.00
_cell_angle_gamma 120.00
_space_group_name_H-M_alt 'R -3'
_space_group_IT_number 148
_space_group_name_Hall '-R 3'
loop_
_atom_site_label
_atom_site_fract_x
_atom_site_fract_y
_atom_site_fract_z
Ac1 0.0274 0.1988 0.3924
Ac2 0.0318 0.1940 0.8859
Ga1 0.0516 0.2768 0.1874
Rh1 0.0000 0.0000 0.0000
Rh2 0.0000 0.0000 0.5000
```

Results
Volume (A^3/atom): 39.010
N(E_F) (states/eV/cell): 64.59
E_tot (eV per cell): -263.44
Magnetization (μB/atom): 0.000

=====

# 7
An optimized crystal structure of ZrCoRe, computed with PBE.

Structure (CIF):
```
data_ZrCoRe
_cell_length_a 6.116
_cell_length_b 6.116
_cell_length_c 6.116
_cell_angle_alpha 90.00
_cell_angle_beta 90.00
_cell_angle_gamma 90.00
_space_group_name_H-M_alt 'F -4 3 m'
_space_group_IT_number 216
_space_group_name_Hall 'F -4 2 3'
loop_
_atom_site_label
_atom_site_fract_x
_atom_site_fract_y
_atom_site_fract_z
Zr1 0.000 0.000 0.000
Co1 0.250 0.250 0.750
Re1 0.250 0.250 0.250
```

Results
Volume (A^3/atom): 19.068
N(E_F) (states/eV/cell): 20.14
E_tot (eV per cell): -98.68
Magnetization (μB/atom): 0.735

=====

# 8
An optimized crystal structure of GaSbH3, computed with PBE.

Structure (CIF):
```
data_GaSbH3
_cell_length_a 4.116
_cell_length_b 4.116
_cell_length_c 4.116
_cell_angle_alpha 90.00
_cell_angle_beta 90.00
_cell_angle_gamma 90.00
_space_group_name_H-M_alt 'P m -3 m'
_space_group_IT_number 221
_space_group_name_Hall '-P 4 2 3'
loop_
_atom_site_label
_atom_site_fract_x
_atom_site_fract_y
_atom_site_fract_z
Ga1 0.000 0.000 0.000
Sb1 0.500 0.500 0.500
H1 0.000 0.500 0.500
```

Results
Volume (A^3/atom): 13.943
N(E_F) (states/eV/cell): 1.42
E_tot (eV per cell): -14.49
Magnetization (μB/atom): 0.000